Entry 1:
Below is a relaxed Ga3PtC crystal, with properties calculated at the PBEsol level.

Lattice parameters (Å, degrees): 4.1619 4.1619 4.1619 90.00 90.00 90.00
Space group Pm-3m (No. 221)
Asymmetric unit:
Ga1 0.0000 0.0000 0.5000 (multiplicity 3)
Pt1 0.5000 0.5000 0.5000 (multiplicity 1)
C1 0.0000 0.0000 0.0000 (multiplicity 1)

Calculated formation energy   502 meV per atom
Uncorrected energy   -0.3545 Ry per atom
N(E_F)   2.197 states/eV/cell

---

Entry 2:
Below is a relaxed GaPtC3 crystal, with properties calculated at the PBEsol level.

Lattice parameters (Å, degrees): 3.8917 3.8917 3.8917 90.00 90.00 90.00
Space group Pm-3m (No. 221)
Asymmetric unit:
Ga1 0.0000 0.0000 0.0000 (multiplicity 1)
Pt1 0.5000 0.5000 0.5000 (multiplicity 1)
C1 0.0000 0.0000 0.5000 (multiplicity 3)

Calculated formation energy   2796 meV per atom
Uncorrected energy   -0.3712 Ry per atom
N(E_F)   2.198 states/eV/cell

---

Entry 3:
Below is a relaxed Ga2PtRhC crystal, with properties calculated at the PBEsol level.

Lattice parameters (Å, degrees): 4.6019 4.6019 4.8681 90.00 90.00 90.00
Space group P4/mmm (No. 123)
Asymmetric unit:
Ga1 0.0000 0.5000 0.0000 (multiplicity 2)
Pt1 0.0000 0.0000 0.5000 (multiplicity 1)
Rh1 0.0000 0.0000 0.0000 (multiplicity 1)
C1 0.5000 0.5000 0.5000 (multiplicity 1)

Calculated formation energy   1697 meV per atom
Uncorrected energy   -0.3372 Ry per atom
N(E_F)   4.888 states/eV/cell

---

Entry 4:
Below is a relaxed GaRuPtC2 crystal, with properties calculated at the PBEsol level.

Lattice parameters (Å, degrees): 3.7546 3.7546 5.5063 90.00 90.00 90.00
Space group P4/mmm (No. 123)
Asymmetric unit:
Ga1 0.0000 0.0000 0.0000 (multiplicity 1)
Ru1 0.5000 0.5000 0.0000 (multiplicity 1)
Pt1 0.5000 0.5000 0.5000 (multiplicity 1)
C1 0.0000 0.5000 0.5000 (multiplicity 2)

Calculated formation energy   1706 meV per atom
Uncorrected energy   -0.4591 Ry per atom
N(E_F)   4.610 states/eV/cell